First-principles (GGA-PBE) data for Ce2ZnSi4Pd3 after structural relaxation, as listed in the Alexandria database.

ρ: 7.24 g/cm³
SG: P-4m2
total energy: -5.83 eV per atom

abc: 4.2119 4.2119 10.0506
angles: 90.00 90.00 90.00
Site moments in Bohr magnetons follow the coordinates.
Fractional coordinates of all 10 atoms:
Ce: 0.5000 0.0000 0.2472  0.36
Ce: 0.0000 0.5000 0.7528  0.36
Pd: 0.0000 0.0000 0.5000  -0.01
Pd: 0.5000 0.0000 0.8784  -0.01
Pd: 0.0000 0.5000 0.1216  -0.01
Si: 0.5000 0.5000 0.0000  0.00
Si: 0.5000 0.0000 0.6381  0.00
Si: 0.0000 0.5000 0.3619  0.00
Si: 0.0000 0.0000 0.0000  0.00
Zn: 0.5000 0.5000 0.5000  -0.01